{
  "formula": "YSiPd5",
  "functional": "PBE",
  "state": "relaxed",
  "cell": [[4.045, 0.000, 0.000], [0.000, 4.045, 0.000], [0.000, 0.000, 7.167]],
  "species": ["Si", "Pd", "Pd", "Pd", "Pd", "Pd", "Y"],
  "frac_coords": [[0.500, 0.500, 0.000], [0.000, 0.500, 0.199], [0.000, 0.500, 0.801], [0.500, 0.500, 0.500], [0.500, 0.000, 0.801], [0.500, 0.000, 0.199], [0.000, 0.000, 0.500]],
  "raw_formation_energy_mev_per_atom": -805,
  "magnetic_moment_mub_per_cell": 0.0,
  "e_tot_ev_per_atom": -6.212
}

=====

{
  "formula": "YSi2Pd4",
  "functional": "PBE",
  "state": "relaxed",
  "cell": [[-2.203, -0.968, -3.410], [5.537, -1.567, -3.132], [-1.436, -16.020, 5.475]],
  "species": ["Y", "Pd", "Pd", "Si", "Y", "Pd", "Pd", "Pd", "Pd", "Pd", "Si", "Pd", "Pd", "Pd", "Si", "Pd", "Si", "Si", "Pd", "Pd", "Si", "Pd", "Y", "Si", "Pd", "Si", "Pd", "Y"],
  "frac_coords": [[0.250, 0.473, 0.860], [0.250, 0.142, 0.527], [0.250, 0.838, 0.184], [0.750, 0.258, 0.459], [0.750, 0.527, 0.140], [0.250, 0.358, 0.027], [0.750, 0.006, 0.072], [0.250, 0.256, 0.203], [0.750, 0.858, 0.473], [0.250, 0.994, 0.928], [0.750, 0.443, 0.715], [0.250, 0.244, 0.703], [0.750, 0.494, 0.572], [0.750, 0.162, 0.816], [0.250, 0.943, 0.785], [0.250, 0.506, 0.428], [0.250, 0.557, 0.285], [0.250, 0.742, 0.541], [0.250, 0.662, 0.684], [0.750, 0.756, 0.297], [0.750, 0.242, 0.959], [0.750, 0.642, 0.973], [0.250, 0.027, 0.360], [0.250, 0.758, 0.041], [0.750, 0.338, 0.316], [0.750, 0.057, 0.215], [0.750, 0.744, 0.797], [0.750, 0.973, 0.640]],
  "raw_formation_energy_mev_per_atom": -796,
  "polymorph_energy_ev_per_atom": 0.044,
  "magnetic_moment_mub_per_cell": 0.0,
  "e_tot_ev_per_atom": -6.236
}